[1]
A relaxed structure of Pm2TmPb2. Source: Alexandria via LeMat-Bulk, functional PBE-GGA.

Output
- total magnetization (μB/atom) = 0.000
- V (Å³/f.u.) = 156
- offset from the most stable computed form (eV per atom) = 0.043
- E_form (eV per atom) = -0.467

Cell: 9.584 9.584 6.604 Å, 90.00 90.00 149.07°
Sites, in units of the cell vectors:
Pm: 0.000 0.000 0.000
Pm: 0.000 0.000 0.500
Pm: 0.193 0.807 0.750
Pm: 0.807 0.193 0.250
Tm: 0.397 0.603 0.750
Tm: 0.603 0.397 0.250
Pb: 0.189 0.811 0.250
Pb: 0.423 0.577 0.250
Pb: 0.577 0.423 0.750
Pb: 0.811 0.189 0.750

***

[2]
A relaxed structure of PmTmPb. Source: Alexandria via LeMat-Bulk, functional PBE-GGA.

Output
- total magnetization (μB/atom) = 0.118
- V (Å³/f.u.) = 92
- offset from the most stable computed form (eV per atom) = 0.000
- E_form (eV per atom) = -0.450

Cell: 4.649 4.649 17.022 Å, 90.00 90.00 90.00°
Sites, in units of the cell vectors:
Pm: 0.000 0.000 0.175
Pm: 0.000 0.000 0.825
Pm: 0.500 0.500 0.325
Pm: 0.500 0.500 0.675
Tm: 0.000 0.500 0.000
Tm: 0.000 0.500 0.500
Tm: 0.500 0.000 0.000
Tm: 0.500 0.000 0.500
Pb: 0.000 0.000 0.366
Pb: 0.000 0.000 0.634
Pb: 0.500 0.500 0.134
Pb: 0.500 0.500 0.866

***

[3]
A relaxed structure of Pm3TmPb5. Source: Alexandria via LeMat-Bulk, functional PBE-GGA.

Output
- total magnetization (μB/atom) = 0.000
- V (Å³/f.u.) = 266
- E_form (eV per atom) = -0.468

Cell: 9.661 9.661 6.590 Å, 90.00 90.00 120.00°
Sites, in units of the cell vectors:
Pm: 0.000 0.382 0.250
Pm: 0.000 0.618 0.750
Pm: 0.382 0.000 0.250
Pm: 0.382 0.382 0.750
Pm: 0.618 0.000 0.750
Pm: 0.618 0.618 0.250
Tm: 0.000 0.000 0.000
Tm: 0.000 0.000 0.500
Pb: 0.000 0.282 0.750
Pb: 0.000 0.718 0.250
Pb: 0.282 0.000 0.750
Pb: 0.282 0.282 0.250
Pb: 0.333 0.667 0.000
Pb: 0.333 0.667 0.500
Pb: 0.667 0.333 0.000
Pb: 0.667 0.333 0.500
Pb: 0.718 0.000 0.250
Pb: 0.718 0.718 0.750